# 1
Here is a relaxed CeNd3H8 crystal from Alexandria via LeMat-Bulk. Energies are from PBE.

Geometry as POSCAR:
```
CeNd3H8
1.0
-0.103 5.449 0.532
-2.360 -0.524 4.914
4.940 -0.137 2.358
H Nd Ce
8 3 1
Cartesian
3.042 3.856 3.395
0.567 3.925 2.214
-0.616 3.662 4.675
3.093 1.126 3.129
1.911 0.864 5.590
-0.564 0.932 4.409
0.618 1.195 1.947
1.859 3.594 5.856
-1.231 2.463 2.723
2.419 2.656 1.445
1.290 -0.330 3.636
0.000 0.000 0.000
```

Properties
Raw total energy   -54.5 eV/cell

# 2
Here is a relaxed Ce3Nd5H12 crystal from Alexandria via LeMat-Bulk. Energies are from PBE.

Geometry as POSCAR:
```
Ce3Nd5H12
1.0
11.755 0.000 0.000
-3.918 11.083 0.000
-3.918 -5.541 9.598
Nd H Ce
20 48 12
Cartesian
3.918 5.541 0.000
-2.939 6.234 3.599
0.980 -2.771 7.198
6.857 -0.693 5.999
-0.980 9.005 1.200
-0.980 2.771 2.399
-1.959 5.541 0.000
0.000 0.000 0.000
0.980 3.463 8.398
2.939 8.312 2.399
4.898 4.849 3.599
-0.980 0.693 5.999
4.898 -3.463 8.398
3.918 -2.771 4.799
4.898 2.771 7.198
2.939 2.078 1.200
-3.918 2.771 4.799
1.959 2.771 4.799
5.877 0.000 0.000
-1.959 -2.771 4.799
5.219 1.697 1.467
4.577 -0.652 5.535
-0.658 6.193 4.063
4.099 -1.327 8.862
0.140 4.014 4.018
1.301 0.652 5.535
-1.778 0.026 8.081
2.617 4.889 4.063
-2.576 6.021 7.395
-3.778 4.243 8.912
5.219 8.734 2.596
-3.301 4.918 5.485
8.495 2.349 2.596
-0.181 6.868 0.736
1.819 7.069 4.018
-4.058 8.257 3.332
5.696 5.515 1.517
2.140 6.842 0.781
-4.099 -0.026 8.081
1.342 4.438 6.316
-2.099 -4.243 8.912
6.017 2.826 3.332
3.778 1.528 5.580
-1.301 3.845 8.131
3.301 -1.103 3.282
4.099 1.301 8.817
-1.301 -3.193 7.002
8.018 5.567 1.517
-0.617 0.480 2.203
7.219 0.623 4.113
2.140 4.214 0.736
2.576 1.103 3.282
2.099 -1.528 5.580
0.617 6.644 6.316
1.778 -1.301 8.817
1.778 1.327 8.862
5.260 6.164 5.485
6.495 -0.480 2.203
6.017 9.785 0.686
-1.342 -0.623 4.113
7.977 -2.716 6.266
-0.181 4.241 0.781
-3.260 9.386 1.467
-2.099 2.716 6.266
-4.577 3.193 7.002
7.697 1.298 0.686
7.178 -3.845 8.131
4.536 5.061 7.395
0.980 5.541 2.399
8.816 0.000 2.399
-2.939 2.078 8.398
-4.898 5.541 7.198
0.980 -0.693 3.599
4.898 0.693 3.599
6.857 7.619 1.200
2.939 0.000 7.198
-2.939 -2.078 8.398
-0.980 4.849 5.999
6.857 3.463 1.200
2.939 6.234 5.999
```

Properties
Raw total energy   -359.7 eV/cell

# 3
Here is a relaxed Ce2Nd4H2Pb3 crystal from Alexandria via LeMat-Bulk. Energies are from PBE.

Geometry as POSCAR:
```
Ce2Nd4H2Pb3
1.0
-2.985 3.411 -1.837
-1.212 -3.025 -3.647
-7.679 -4.897 9.893
H Nd Ce Pb
2 4 2 3
Cartesian
-4.107 -0.774 -1.273
-7.769 -3.738 5.682
-3.132 0.917 0.280
-2.245 -2.301 -0.624
-8.744 -5.428 4.129
-9.630 -2.210 5.034
-5.961 -1.666 0.083
-5.914 -2.845 4.326
0.000 0.000 0.000
-8.440 -2.858 1.897
-3.435 -1.653 2.513
```

Properties
Raw total energy   -52.9 eV/cell

# 4
Here is a relaxed Ce4Nd2Sb3H2 crystal from Alexandria via LeMat-Bulk. Energies are from PBE.

Geometry as POSCAR:
```
Ce4Nd2Sb3H2
1.0
4.578 0.000 0.000
0.000 4.578 0.000
-2.289 -2.289 13.372
Sb H Ce Nd
3 2 4 2
Cartesian
2.289 2.289 8.682
0.000 0.000 4.690
0.000 0.000 0.000
0.000 0.000 11.489
2.289 2.289 1.882
2.289 0.000 11.131
0.000 2.289 2.241
0.000 2.289 11.131
2.289 0.000 2.241
2.289 2.289 5.432
0.000 0.000 7.940
```

Properties
Raw total energy   -60.0 eV/cell

# 5
Here is a relaxed Ce4Nd2Sn3H2 crystal from Alexandria via LeMat-Bulk. Energies are from PBE.

Geometry as POSCAR:
```
Ce4Nd2Sn3H2
1.0
-2.269 -0.452 -4.057
-3.579 -2.012 2.226
-2.596 13.017 2.691
Nd Sn Ce H
2 3 4 2
Cartesian
-5.142 3.502 -0.203
-3.303 7.051 1.062
-6.521 6.446 0.241
-1.924 4.106 0.619
0.000 0.000 0.000
-2.712 0.962 1.410
-5.733 9.591 -0.550
-2.057 1.742 -1.732
-6.388 8.811 2.592
-4.328 9.240 1.392
-4.116 1.312 -0.532
```

Properties
Raw total energy   -57.5 eV/cell

# 6
Here is a relaxed Ce4Ni2H crystal from Alexandria via LeMat-Bulk. Energies are from PBE.

Geometry as POSCAR:
```
Ce4Ni2H
1.0
4.542 0.000 0.000
0.000 4.542 0.000
-2.271 -2.271 7.139
Ce H Ni
4 1 2
Cartesian
2.271 0.000 0.000
2.271 2.271 4.340
0.000 0.000 2.799
0.000 2.271 0.000
0.000 0.000 0.000
0.000 0.000 5.216
2.271 2.271 1.923
```

Properties
Raw total energy   -39.6 eV/cell

# 7
Here is a relaxed CeNiH crystal from Alexandria via LeMat-Bulk. Energies are from PBE.

Geometry as POSCAR:
```
CeNiH
1.0
3.759 0.006 0.290
-0.007 4.410 -0.009
0.647 0.012 5.196
H Ce Ni
2 2 2
Cartesian
4.245 3.176 4.442
3.010 0.971 5.337
1.746 3.163 0.702
1.104 0.964 3.590
3.222 3.167 2.976
3.387 0.959 1.608
```

Properties
ΔE to the lowest computed polymorph   0.0 meV per atom
Raw total energy   -32.5 eV/cell

# 8
Here is a relaxed Ce2NiH8 crystal from Alexandria via LeMat-Bulk. Energies are from PBE.

Geometry as POSCAR:
```
Ce2NiH8
1.0
3.857 0.000 0.000
0.000 4.584 -0.146
-1.929 -2.117 5.538
Ni H Ce
1 8 2
Cartesian
1.929 0.000 0.000
0.000 0.078 2.436
0.000 1.037 -0.033
1.929 3.602 1.204
1.929 1.067 1.284
1.929 2.388 2.955
0.000 -1.135 4.188
0.000 1.399 4.108
1.929 1.429 5.425
1.929 0.117 3.674
0.000 2.349 1.718
```

Properties
Raw total energy   -47.6 eV/cell

# 9
Here is a relaxed CeNi3H3 crystal from Alexandria via LeMat-Bulk. Energies are from PBE.

Geometry as POSCAR:
```
CeNi3H3
1.0
-4.094 1.507 -4.267
-5.563 -2.508 0.088
-4.852 3.389 1.488
H Ni Ce
6 6 2
Cartesian
-6.600 1.792 -0.574
-6.794 0.185 -0.955
-7.909 0.596 -2.118
-6.394 1.279 -2.141
-7.715 2.202 -1.736
-8.115 1.108 -0.550
-6.218 -1.074 -0.468
-8.726 -0.151 -3.082
-8.291 3.461 -2.224
-5.319 1.386 -3.135
-5.783 2.538 0.390
-9.190 1.002 0.444
-3.627 0.597 -0.673
-10.882 1.791 -2.019
```

Properties
Raw total energy   -64.6 eV/cell

# 10
Here is a relaxed Ce12Ni3H5 crystal from Alexandria via LeMat-Bulk. Energies are from PBE.

Geometry as POSCAR:
```
Ce12Ni3H5
1.0
12.849 0.000 0.000
-4.283 12.114 0.000
-4.283 -6.057 10.491
H Ni Ce
20 12 48
Cartesian
-1.071 9.843 1.311
-4.283 3.029 5.246
0.000 0.000 0.000
1.071 -3.029 7.868
-3.212 6.814 3.934
4.283 -3.029 5.246
3.212 2.271 1.311
5.354 3.029 7.868
1.071 3.786 9.180
7.495 -0.757 6.557
6.425 0.000 0.000
2.142 3.029 5.246
-2.142 -3.029 5.246
5.354 5.300 3.934
-1.071 0.757 6.557
4.283 6.057 0.000
-1.071 3.029 2.623
5.354 -3.786 9.180
-2.142 6.057 0.000
3.212 9.086 2.623
-3.212 -2.271 9.180
7.495 3.786 1.311
3.212 0.000 7.868
7.495 8.329 1.311
5.354 0.757 3.934
-5.354 6.057 7.868
9.637 0.000 2.623
1.071 6.057 2.623
1.071 -0.757 3.934
3.212 6.814 6.557
-3.212 2.271 9.180
-1.071 5.300 6.557
-4.840 0.223 8.484
8.248 0.506 4.891
8.697 1.140 0.355
-3.965 5.551 5.600
9.123 5.834 2.007
2.698 7.907 0.810
2.273 8.208 4.435
-4.152 8.823 4.081
-0.318 0.954 2.362
4.414 2.151 6.056
-2.010 -4.917 10.136
-1.136 -3.010 7.608
0.318 7.517 7.253
7.561 -4.002 9.326
5.868 6.281 2.007
4.840 -1.627 9.294
-1.824 -0.506 4.891
9.572 3.047 2.883
1.136 0.992 6.443
-3.278 10.059 1.165
4.601 5.103 8.129
1.585 1.627 9.294
6.293 3.292 4.081
-0.557 7.684 1.197
6.742 -0.954 2.362
1.824 4.597 7.253
-5.289 3.010 7.608
5.419 9.067 2.883
-0.131 3.906 4.435
-1.136 4.002 9.326
1.585 -1.850 9.681
2.010 -2.151 6.056
-1.585 -0.223 8.484
8.435 -2.766 6.411
-2.010 2.766 6.411
-4.414 4.917 10.136
6.107 6.563 5.600
2.698 4.430 1.197
2.459 1.460 3.238
3.147 5.065 4.048
-1.006 7.049 4.048
4.840 1.850 9.681
5.419 2.055 1.165
6.293 10.974 0.355
3.965 -1.460 3.238
-0.557 4.207 0.810
5.289 -0.992 6.443
-2.459 7.011 8.129
```

Properties
Raw total energy   -433.4 eV/cell

# 11
Here is a relaxed CeNi3H6 crystal from Alexandria via LeMat-Bulk. Energies are from PBE.

Geometry as POSCAR:
```
CeNi3H6
1.0
4.104 0.000 -2.199
-2.642 3.835 0.000
0.050 0.035 5.023
H Ni Ce
6 3 1
Cartesian
0.838 1.546 0.042
3.174 0.232 -0.725
2.380 1.592 1.972
-1.350 2.883 0.721
0.348 1.656 3.036
-1.039 3.570 3.073
-0.347 2.588 4.281
1.915 1.319 -1.356
0.739 0.509 1.380
0.906 3.451 1.690
```

Properties
Raw total energy   -45.8 eV/cell

# 12
Here is a relaxed CeNiH crystal from Alexandria via LeMat-Bulk. Energies are from PBE.

Geometry as POSCAR:
```
CeNiH
1.0
-0.919 -3.267 1.579
0.925 -1.786 -3.157
3.255 2.169 1.946
H Ni Ce
1 1 1
Cartesian
3.191 -2.877 0.343
1.377 -0.151 0.489
0.976 -2.633 -0.443
```

Properties
ΔE to the lowest computed polymorph   242.4 meV per atom
Raw total energy   -15.5 eV/cell

# 13
Here is a relaxed CeNi5H7 crystal from Alexandria via LeMat-Bulk. Energies are from PBE.

Geometry as POSCAR:
```
CeNi5H7
1.0
-2.283 -3.948 -1.641
3.107 -3.363 -3.392
-1.890 -3.557 4.030
Ni H Ce
5 7 1
Cartesian
-1.940 -3.885 1.305
-1.245 -7.772 -1.042
-3.080 -5.856 0.486
-0.568 -5.758 -3.247
0.572 -3.787 -2.427
-2.542 -7.543 0.210
-0.579 -7.466 -2.705
-1.591 -5.628 1.439
0.870 -5.532 -2.217
-0.144 -5.764 -0.248
-0.207 -8.654 -0.366
-0.663 -5.323 -0.586
-2.126 -4.081 -1.539
```

Properties
Raw total energy   -57.5 eV/cell

# 14
Here is a relaxed CeNiH crystal from Alexandria via LeMat-Bulk. Energies are from PBE.

Geometry as POSCAR:
```
CeNiH
1.0
3.751 0.000 0.000
0.000 6.782 0.000
0.000 0.000 7.212
Ce Ni H
4 4 4
Cartesian
0.938 5.529 4.930
0.938 4.644 1.324
2.813 1.253 2.282
2.813 2.138 5.889
2.813 4.146 3.352
2.813 6.027 6.958
0.938 0.755 0.254
0.938 2.636 3.861
2.813 4.440 6.694
2.813 5.733 3.088
0.938 2.342 0.518
0.938 1.049 4.125
```

Properties
ΔE to the lowest computed polymorph   37.4 meV per atom
Raw total energy   -64.6 eV/cell

# 15
Here is a relaxed CeNi2H6 crystal from Alexandria via LeMat-Bulk. Energies are from PBE.

Geometry as POSCAR:
```
CeNi2H6
1.0
-3.724 -2.357 0.265
3.605 -1.767 -1.838
1.207 -1.480 3.789
Ce H Ni
1 6 2
Cartesian
0.000 0.000 0.000
0.247 -2.437 0.176
2.110 -1.259 0.043
2.702 -1.987 1.908
0.841 -3.167 2.040
-0.961 -2.282 2.959
-1.556 -1.555 1.095
-0.678 -2.900 1.459
1.765 -2.704 0.757
```

Properties
Raw total energy   -41.1 eV/cell

# 16
Here is a relaxed CeNiH crystal from Alexandria via LeMat-Bulk. Energies are from PBE.

Geometry as POSCAR:
```
CeNiH
1.0
3.602 0.000 0.000
0.000 3.714 0.000
0.000 -1.857 3.217
H Ni Ce
1 1 1
Cartesian
0.601 1.857 1.072
0.600 0.000 0.000
2.402 0.000 2.145
```

Properties
ΔE to the lowest computed polymorph   250.1 meV per atom
Raw total energy   -15.5 eV/cell